Computed, not measured: crystalline TcMoH at its relaxed geometry at the PBE-GGA level of DFT.

Its distance to the lowest polymorph of the same formula is 0.014 eV per atom. For the density of states at the Fermi level, the calculation gives 7.3 states/eV/cell. The crystal system is monoclinic. For the total magnetization, the calculation gives 0.00 μB/atom.

It has space group C2/m (No. 12), with a = 9.483 Å, b = 2.837 Å, c = 4.897 Å, α = 90.00°, β = 99.82° and γ = 90.00°. Symmetry generates all atoms from Tc at (0.122, 0.000, 0.379), Mo at (0.112, 0.500, 0.864) and H at (0.247, 0.500, 0.248).